[1]
VASP calculation (GGA-PBE) on a relaxed Ho2Er5Ru5 crystal.

For the calculated formation energy, the calculation gives -3.19 eV/f.u.

abc: 4.802 4.802 13.367
angles: 79.73 79.73 59.96
Element x y z (fractional)
Ho  0.072  0.072  0.784
Ho  0.928  0.928  0.216
Er  0.500  0.500  0.500
Er  0.310  0.310  0.071
Er  0.215  0.215  0.354
Er  0.785  0.785  0.646
Er  0.690  0.690  0.929
Ru  0.855  0.855  0.435
Ru  0.384  0.384  0.846
Ru  0.616  0.616  0.154
Ru  0.145  0.145  0.565
Ru  0.000  0.000  0.000

***

[2]
VASP calculation (GGA-PBE) on a relaxed Ho2Er3Ru3 crystal.

For the calculated formation energy, the calculation gives -2.67 eV/f.u.

abc: 3.439 5.051 10.689
angles: 103.67 99.26 90.00
Element x y z (fractional)
Ho  0.719  0.219  0.437
Ho  0.281  0.781  0.563
Er  0.610  0.610  0.220
Er  0.390  0.390  0.780
Er  0.500  0.000  0.000
Ru  0.115  0.115  0.229
Ru  0.000  0.500  0.000
Ru  0.885  0.885  0.771

***

[3]
VASP calculation (GGA-PBE) on a relaxed Ho4ErRu2 crystal.

For the calculated formation energy, the calculation gives -1.88 eV/f.u.

abc: 6.287 7.853 7.741
angles: 112.52 90.00 90.00
Element x y z (fractional)
Ho  0.501  0.415  0.758
Ho  0.250  0.247  0.325
Ho  0.750  0.753  0.675
Ho  0.999  0.415  0.758
Ho  0.750  0.021  0.378
Ho  0.001  0.585  0.242
Ho  0.499  0.585  0.242
Ho  0.250  0.979  0.622
Er  0.250  0.836  0.973
Er  0.750  0.164  0.027
Ru  0.250  0.256  0.978
Ru  0.750  0.744  0.022
Ru  0.750  0.376  0.414
Ru  0.250  0.624  0.586

***

[4]
VASP calculation (GGA-PBE) on a relaxed HoEr3Ru2 crystal.

The calculation puts the distance to the lowest polymorph of the same formula at 0 meV/atom. For the calculated formation energy, the calculation gives -2.29 eV/f.u.

abc: 4.287 7.456 8.779
angles: 90.00 90.00 90.00
Element x y z (fractional)
Ho  0.500  0.520  0.584
Ho  0.500  0.020  0.416
Er  0.000  0.480  0.916
Er  0.000  0.980  0.084
Er  0.500  0.648  0.181
Er  0.500  0.148  0.819
Er  0.000  0.352  0.318
Er  0.000  0.852  0.682
Ru  0.500  0.754  0.866
Ru  0.500  0.254  0.134
Ru  0.000  0.246  0.635
Ru  0.000  0.746  0.365